(1)
Crystalline ThFeH3 at its relaxed geometry. Source: Alexandria, functional PBE.

Cell: 4.761 5.474 8.062 Å, 98.08 90.00 90.00°
Atoms (fractional coordinates):
H 0.566 0.671 0.452
H 0.434 0.329 0.548
H 0.538 0.859 0.914
H 0.743 0.446 0.777
H 0.757 0.946 0.277
H 0.257 0.554 0.223
H 0.038 0.641 0.586
H 0.066 0.829 0.048
H 0.243 0.054 0.723
H 0.462 0.141 0.086
H 0.962 0.359 0.414
H 0.934 0.171 0.952
Th 0.255 0.018 0.316
Th 0.245 0.518 0.816
Th 0.745 0.982 0.684
Th 0.755 0.482 0.184
Fe 0.751 0.453 0.578
Fe 0.749 0.953 0.078
Fe 0.249 0.547 0.422
Fe 0.251 0.047 0.922

(2)
Crystalline CsK2Tb at its relaxed geometry. Source: Alexandria, functional PBE.

Summary:
* energy of formation: 2.06 eV per formula unit

Cell: 4.010 4.010 16.506 Å, 83.02 83.02 60.00°
Atoms (fractional coordinates):
Cs 0.500 0.500 0.500
K 0.923 0.923 0.231
K 0.077 0.077 0.769
Tb 0.000 0.000 0.000

(3)
Crystalline Er2Ga9Co3 at its relaxed geometry. Source: Alexandria, functional PBE.

Summary:
* energy of formation: -6.75 eV per formula unit

Cell: 7.356 7.356 10.290 Å, 90.06 110.78 120.15°
Atoms (fractional coordinates):
Ga 0.883 0.133 0.750
Ga 0.129 0.982 0.941
Ga 0.787 0.478 0.428
Ga 0.117 0.867 0.250
Ga 0.547 0.082 0.251
Ga 0.453 0.918 0.749
Ga 0.669 0.704 0.751
Ga 0.119 0.142 0.428
Ga 0.331 0.296 0.249
Ga 0.213 0.522 0.572
Ga 0.881 0.858 0.572
Ga 0.550 0.359 0.072
Ga 0.540 0.188 0.559
Ga 0.786 0.309 0.928
Ga 0.214 0.691 0.072
Ga 0.460 0.812 0.441
Ga 0.450 0.641 0.928
Ga 0.871 0.018 0.059
Er 0.665 0.752 0.251
Er 0.001 0.415 0.249
Er 0.335 0.248 0.749
Er 0.999 0.585 0.751
Co 0.829 0.659 0.999
Co 0.500 0.000 0.000
Co 0.171 0.341 0.001
Co 0.500 0.500 0.500
Co 0.840 0.170 0.499
Co 0.160 0.830 0.501

(4)
Crystalline K2AgPb at its relaxed geometry. Source: Alexandria, functional PBE.

Summary:
* energy of formation: -0.09 eV per formula unit

Cell: 4.842 6.614 6.614 Å, 60.31 68.45 68.45°
Each line ends with the local moment (μB).
Atoms (fractional coordinates):
K 0.444 0.483 0.628  0.01
K 0.056 0.872 0.017  0.01
Ag 0.750 0.965 0.535  0.02
Pb 0.250 0.180 0.320  0.12

(5)
Crystalline Pr3TlIr at its relaxed geometry. Source: Alexandria, functional PBE.

Summary:
* energy of formation: -2.35 eV per formula unit

Cell: 4.805 8.461 14.868 Å, 90.00 90.00 90.00°
Atoms (fractional coordinates):
Tl 0.250 0.118 0.172
Tl 0.250 0.618 0.328
Tl 0.750 0.382 0.672
Tl 0.750 0.882 0.828
Pr 0.750 0.639 0.484
Pr 0.750 0.330 0.286
Pr 0.750 0.993 0.606
Pr 0.250 0.507 0.106
Pr 0.250 0.361 0.516
Pr 0.250 0.670 0.714
Pr 0.250 0.861 0.984
Pr 0.750 0.493 0.894
Pr 0.250 0.170 0.786
Pr 0.250 0.007 0.394
Pr 0.750 0.830 0.214
Pr 0.750 0.139 0.016
Ir 0.750 0.697 0.047
Ir 0.750 0.197 0.453
Ir 0.250 0.803 0.547
Ir 0.250 0.303 0.953

(6)
Crystalline BaAl3V at its relaxed geometry. Source: Alexandria, functional PBE.

Summary:
* energy of formation: 0.36 eV per formula unit

Cell: 4.991 4.991 4.991 Å, 90.00 90.00 90.00°
Each line ends with the local moment (μB).
Atoms (fractional coordinates):
Al 0.000 0.000 0.500  0.00
Al 0.000 0.500 0.000  0.00
Al 0.500 0.000 0.000  0.00
Ba 0.500 0.500 0.500  0.00
V 0.000 0.000 0.000  -0.09

(7)
Crystalline MgScMo2H at its relaxed geometry. Source: Alexandria, functional PBE.

Cell: 4.633 5.450 4.633 Å, 90.00 90.00 90.00°
Each line ends with the local moment (μB).
Atoms (fractional coordinates):
Mg 0.000 0.500 0.000  -0.01
H 0.500 0.500 0.500  -0.02
Mo 0.000 0.000 0.500  0.48
Mo 0.500 0.000 0.000  0.74
Sc 0.000 0.000 0.000  -0.02

(8)
Crystalline CsTcAu3 at its relaxed geometry. Source: Alexandria, functional PBE.

Summary:
* energy of formation: 10.13 eV per formula unit

Cell: 5.953 5.953 5.953 Å, 90.00 90.00 90.00°
Each line ends with the local moment (μB).
Atoms (fractional coordinates):
Au 0.000 0.000 0.500  0.08
Au 0.000 0.500 0.000  0.02
Au 0.500 0.000 0.000  -0.09
Cs 0.000 0.000 0.000  -0.04
Tc 0.500 0.500 0.500  4.11

Per-record electronic total energy, eV/f.u.: -27.34, -5.62, -64.44, -8.84, -27.92, -21.91, -21.63, -10.92
Per-record N(E_F), states/eV/f.u.: 1.72, 6.35, 7.32, 3.67, 4.44, 4.94, 6.88, 2.45